[1]
# TePPd3

A relaxed structure of TePPd3 (PBE, Alexandria).

a b c (Å): 4.944 4.944 4.944
angles (deg): 90.00 90.00 90.00
Last column: magnetic moment on the atom in μB.
Fractional coordinates of all 5 atoms:
1 Pd 0.500 0.000 0.000  -0.01
2 Pd 0.000 0.000 0.500  0.05
3 Te 0.000 0.000 0.000  0.03
4 P 0.500 0.500 0.500  0.43
5 Pd 0.000 0.500 0.000  0.05

Distance to the lowest polymorph of the same formula (meV/atom): 865
Formation energy (no corrections) (meV per atom): 769
DFT total energy (eV/atom): -4.0569
Space group: Pm-3m
Crystal system: cubic
Volume (Å³/f.u.): 120.9

[2]
# KAlPb2O4

A relaxed structure of KAlPb2O4 (PBE, Alexandria).

a b c (Å): 5.572 7.761 7.726
angles (deg): 90.00 90.00 90.00
Fractional coordinates of all 16 atoms:
1 O 0.853 0.195 0.189
2 O 0.811 0.816 0.500
3 Al 0.997 0.121 0.000
4 O 0.353 0.805 0.689
5 K 0.500 0.874 0.000
6 Pb 0.001 0.707 0.748
7 O 0.311 0.184 0.000
8 O 0.485 0.115 0.500
9 Pb 0.001 0.707 0.252
10 O 0.853 0.195 0.811
11 O 0.353 0.805 0.311
12 Pb 0.501 0.293 0.248
13 O 0.985 0.885 0.000
14 Al 0.497 0.879 0.500
15 Pb 0.501 0.293 0.752
16 K 0.000 0.126 0.500

Formation energy (no corrections) (meV per atom): -1736
DFT total energy (eV/atom): -5.7468
Space group: Pmn2_1
Crystal system: orthorhombic
Volume (Å³/f.u.): 167.1

[3]
# Nb3IrS4

A relaxed structure of Nb3IrS4 (PBE, Alexandria).

a b c (Å): 6.408 6.790 6.552
angles (deg): 90.00 90.00 90.00
Fractional coordinates of all 16 atoms:
1 S 0.573 0.106 0.500
2 S 0.688 0.708 0.252
3 Nb 0.429 0.776 0.000
4 S 0.688 0.708 0.748
5 S 0.188 0.292 0.248
6 Ir 0.928 0.237 0.000
7 Nb 0.929 0.224 0.500
8 Ir 0.428 0.763 0.500
9 S 0.586 0.115 0.000
10 Nb 0.562 0.379 0.754
11 Nb 0.062 0.621 0.746
12 S 0.188 0.292 0.752
13 S 0.086 0.885 0.500
14 Nb 0.562 0.379 0.246
15 Nb 0.062 0.621 0.254
16 S 0.073 0.894 0.000

Formation energy (no corrections) (meV per atom): -660
DFT total energy (eV/atom): -7.6074
Space group: Pmn2_1
Crystal system: orthorhombic
Volume (Å³/f.u.): 142.6

[4]
# Nd2DyErSc

A relaxed structure of Nd2DyErSc (PBE, Alexandria).

a b c (Å): 6.362 7.808 6.425
angles (deg): 89.99 93.08 90.00
Fractional coordinates of all 10 atoms:
1 Sc 0.000 0.000 0.500
2 Er 0.721 0.500 0.180
3 Nd 0.232 0.299 0.307
4 Nd 0.232 0.701 0.306
5 Dy 0.416 0.000 0.756
6 Dy 0.584 0.000 0.244
7 Nd 0.768 0.701 0.693
8 Sc 0.000 0.000 0.000
9 Nd 0.768 0.299 0.694
10 Er 0.279 0.500 0.820

DFT total energy (eV/atom): -4.8041
Space group: P2/m
ΔH_f (0 K) (meV per atom): 202
Crystal system: monoclinic
Volume (Å³/f.u.): 159.4

[5]
# PrSc2Fe

A relaxed structure of PrSc2Fe (PBE, Alexandria).

a b c (Å): 3.220 3.220 8.629
angles (deg): 90.00 90.00 90.00
Fractional coordinates of all 4 atoms:
1 Pr 0.500 0.500 0.500
2 Sc 0.000 0.000 0.830
3 Sc 0.000 0.000 0.170
4 Fe 0.500 0.500 0.000

Distance to the lowest polymorph of the same formula (meV/atom): 0
DFT total energy (eV/atom): -6.5100
Space group: P4/mmm
ΔH_f (0 K) (meV per atom): -34
Crystal system: tetragonal
Volume (Å³/f.u.): 89.5

[6]
# K4SrI6

A relaxed structure of K4SrI6 (PBE, Alexandria).

a b c (Å): 10.044 10.044 10.044
angles (deg): 89.51 89.51 90.49
Fractional coordinates of all 22 atoms:
1 I 0.076 0.310 0.056
2 I 0.924 0.690 0.944
3 Sr 0.500 0.500 0.500
4 I 0.810 0.576 0.556
5 I 0.056 0.924 0.310
6 K 0.631 0.869 0.750
7 I 0.424 0.556 0.810
8 K 0.750 0.369 0.869
9 I 0.310 0.944 0.924
10 I 0.444 0.810 0.424
11 I 0.576 0.444 0.190
12 I 0.690 0.056 0.076
13 K 0.250 0.250 0.750
14 K 0.750 0.750 0.250
15 K 0.250 0.631 0.131
16 K 0.369 0.131 0.250
17 K 0.869 0.250 0.369
18 Sr 0.000 0.000 0.000
19 I 0.944 0.076 0.690
20 K 0.131 0.750 0.631
21 I 0.556 0.190 0.576
22 I 0.190 0.424 0.444

Formation energy (no corrections) (meV per atom): -1520
DFT total energy (eV/atom): -2.9177
Space group: R-3c
Crystal system: trigonal
Volume (Å³/f.u.): 506.5

[7]
# Pr2MgCu3Ge4

A relaxed structure of Pr2MgCu3Ge4 (PBE, Alexandria).

a b c (Å): 4.252 4.252 10.535
angles (deg): 90.00 90.00 90.00
Fractional coordinates of all 10 atoms:
1 Ge 0.000 0.500 0.353
2 Ge 0.000 0.000 0.000
3 Cu 0.500 0.000 0.876
4 Ge 0.500 0.500 0.000
5 Mg 0.500 0.500 0.500
6 Cu 0.000 0.500 0.124
7 Cu 0.000 0.000 0.500
8 Pr 0.000 0.500 0.760
9 Pr 0.500 0.000 0.240
10 Ge 0.500 0.000 0.647

DFT total energy (eV/atom): -4.7009
Space group: P-4m2
ΔH_f (0 K) (meV per atom): -510
Crystal system: tetragonal
Volume (Å³/f.u.): 190.4

[8]
# Ba2TeHPt

A relaxed structure of Ba2TeHPt (PBE, Alexandria).

a b c (Å): 5.805 5.805 4.026
angles (deg): 90.00 90.00 90.00
Fractional coordinates of all 5 atoms:
1 Ba 0.500 0.000 0.000
2 Pt 0.000 0.000 0.500
3 Te 0.500 0.500 0.500
4 Ba 0.000 0.500 0.000
5 H 0.000 0.000 0.000

DFT total energy (eV/atom): -4.2223
Space group: P4/mmm
Crystal system: tetragonal
Volume (Å³/f.u.): 135.6

[9]
# PaCl2F

A relaxed structure of PaCl2F (PBE, Alexandria).

a b c (Å): 3.648 5.526 5.526
angles (deg): 66.08 70.73 70.73
Last column: magnetic moment on the atom in μB.
Fractional coordinates of all 4 atoms:
1 F 0.000 0.890 0.110  -0.01
2 Cl 0.198 0.165 0.439  -0.02
3 Pa 0.500 0.123 0.877  1.79
4 Cl 0.802 0.561 0.835  -0.02

Distance to the lowest polymorph of the same formula (meV/atom): 0
Formation energy (no corrections) (meV per atom): -2263
DFT total energy (eV/atom): -6.0284
Space group: Imm2
Crystal system: orthorhombic
Volume (Å³/f.u.): 93.6

[10]
# ZnCu3Sn

A relaxed structure of ZnCu3Sn (PBE, Alexandria).

a b c (Å): 4.518 4.518 4.518
angles (deg): 90.00 90.00 90.00
Fractional coordinates of all 5 atoms:
1 Cu 0.000 0.000 0.500
2 Cu 0.500 0.000 0.000
3 Cu 0.000 0.500 0.000
4 Zn 0.000 0.000 0.000
5 Sn 0.500 0.500 0.500

Distance to the lowest polymorph of the same formula (meV/atom): 0
DFT total energy (eV/atom): -3.0057
Space group: Pm-3m
ΔH_f (0 K) (meV per atom): 507
Crystal system: cubic
Volume (Å³/f.u.): 92.2

[11]
# HfSc2Ni2

A relaxed structure of HfSc2Ni2 (PBE, Alexandria).

a b c (Å): 3.301 3.301 9.011
angles (deg): 79.44 79.44 90.00
Fractional coordinates of all 5 atoms:
1 Hf 0.000 0.000 0.000
2 Sc 0.372 0.372 0.257
3 Ni 0.250 0.750 0.500
4 Ni 0.750 0.250 0.500
5 Sc 0.628 0.628 0.743

Distance to the lowest polymorph of the same formula (meV/atom): 318
DFT total energy (eV/atom): -6.8601
Space group: I4/mmm
ΔH_f (0 K) (meV per atom): -24
Crystal system: tetragonal
Volume (Å³/f.u.): 94.8

[12]
# Cd6SnHg12

A relaxed structure of Cd6SnHg12 (PBE, Alexandria).

a b c (Å): 8.829 8.829 8.829
angles (deg): 110.64 110.64 110.64
Fractional coordinates of all 19 atoms:
1 Hg 0.041 0.338 0.289
2 Hg 0.852 0.066 0.400
3 Hg 0.400 0.852 0.066
4 Cd 0.666 0.331 0.703
5 Hg 0.066 0.400 0.852
6 Cd 0.331 0.703 0.666
7 Hg 0.662 0.711 0.959
8 Hg 0.289 0.041 0.338
9 Hg 0.711 0.959 0.662
10 Cd 0.669 0.297 0.334
11 Hg 0.600 0.148 0.934
12 Sn 0.000 0.000 0.000
13 Hg 0.338 0.289 0.041
14 Hg 0.959 0.662 0.711
15 Cd 0.297 0.334 0.669
16 Hg 0.148 0.934 0.600
17 Cd 0.703 0.666 0.331
18 Cd 0.334 0.669 0.297
19 Hg 0.934 0.600 0.148

Distance to the lowest polymorph of the same formula (meV/atom): 0
DFT total energy (eV/atom): -0.6542
Space group: R-3
ΔH_f (0 K) (meV per atom): 36
Crystal system: trigonal
Volume (Å³/f.u.): 505.6

Q: Look up the volume of the fourth one.
A: 159.4 Å³/f.u.

What did the fifth record say?
# PrSc2Fe

A relaxed structure of PrSc2Fe (PBE, Alexandria).

a b c (Å): 3.220 3.220 8.629
angles (deg): 90.00 90.00 90.00
Fractional coordinates of all 4 atoms:
1 Pr 0.500 0.500 0.500
2 Sc 0.000 0.000 0.830
3 Sc 0.000 0.000 0.170
4 Fe 0.500 0.500 0.000

Distance to the lowest polymorph of the same formula (meV/atom): 0
DFT total energy (eV/atom): -6.5100
Space group: P4/mmm
ΔH_f (0 K) (meV per atom): -34
Crystal system: tetragonal
Volume (Å³/f.u.): 89.5